Density functional theory data (PBE) for CsSn4Te5 after structural relaxation.

V	374.7	Å³/cell
crystal system	monoclinic
raw total energy	-3.630	eV per atom
raw formation energy	-0.373	eV per atom
E above lowest polymorph	0.0000	eV/atom
space group	No. 12

Cell lengths 4.5701, 7.6671, 11.4781 Å; angles 81.68, 78.52, 72.66 degrees
Sites, in units of the cell vectors:
Te: 0.8025 0.0637 0.3313
Te: 0.1975 0.9363 0.6687
Sn: 0.1857 0.3812 0.2474
Sn: 0.8143 0.6188 0.7526
Te: 0.0000 0.5000 0.5000
Te: 0.3981 0.3676 0.8362
Cs: 0.0000 0.0000 0.0000
Te: 0.6019 0.6324 0.1638
Sn: 0.3958 0.7983 0.4101
Sn: 0.6042 0.2017 0.5899